No. 1
## LaMgAlAu2 (PBE-GGA)

Data for LaMgAlAu2 after structural relaxation.

Output
The crystal system is tetragonal. As for the total magnetic moment: 0.00 μB/f.u. The calculated formation energy comes out at -689 meV per atom.

Cell and atoms, written as CIF:
```
data_LaMgAlAu2
_chemical_formula_sum 'La2 Mg2 Al2 Au4'
_space_group_name_H-M_alt 'I -4 m 2'
_space_group_IT_number 119
_space_group_name_Hall 'I -4 -2'
_cell_length_a 4.295
_cell_length_b 4.295
_cell_length_c 12.109
_cell_angle_alpha 90.00
_cell_angle_beta 90.00
_cell_angle_gamma 90.00
loop_
_atom_site_label
_atom_site_fract_x
_atom_site_fract_y
_atom_site_fract_z
La1 0.000 0.000 0.000
Mg1 0.000 0.500 0.750
Al1 0.000 0.500 0.250
Au1 0.000 0.000 0.383
```


No. 2
## KNdPu2Te4 (PBE-GGA)

Data for KNdPu2Te4 after structural relaxation.

Output
The crystal system is monoclinic. The value obtained for the formation energy from raw total energies is -1.189 eV/atom. As for the total magnetic moment: 11.68 μB/f.u.

Cell and atoms, written as CIF:
```
data_KNdPu2Te4
_chemical_formula_sum 'K1 Nd1 Pu2 Te4'
_space_group_name_H-M_alt 'P 1 2/m 1'
_space_group_IT_number 10
_cell_length_a 7.910
_cell_length_b 4.510
_cell_length_c 7.950
_cell_angle_alpha 90.00
_cell_angle_beta 108.70
_cell_angle_gamma 90.00
loop_
_space_group_symop_operation_xyz
'x,y,z'
'-x,-y,-z'
'-x,y,-z'
'x,-y,z'
loop_
_atom_site_label
_atom_site_fract_x
_atom_site_fract_y
_atom_site_fract_z
K1 0.000 0.000 0.000
Nd1 0.000 0.500 0.500
Pu1 0.500 0.000 0.500
Pu2 0.500 0.500 0.000
Te1 0.259 0.000 0.745
Te2 0.267 0.500 0.266
```